Entry 1:
Computed, not measured: crystalline NdNi4Bi at its relaxed geometry at the PBE level of DFT.

Values from the calculation:
Crystal system   cubic
V   384.3 Å³ per cell
Density of states at the Fermi level   1.083 states/eV/atom
E_tot   -5.465 eV/atom
Energy of formation from the pure elements   -0.17 eV/atom

Lattice parameters (Å, degrees): 7.2706 7.2706 7.2706 90.00 90.00 90.00
With the nearest neighbours (Å) after each atom.
Space group F-43m (No. 216)
One atom of each set of equivalent atoms:
Nd 0.0000 0.0000 0.0000 x4  12 Ni 3.01, 4 Bi 3.15
Ni 0.1253 0.1253 0.6253 x16  6 Ni 2.56-2.58
Bi 0.2500 0.2500 0.2500 x4  12 Ni 3.01, 4 Nd 3.15

=====

Entry 2:
Computed, not measured: crystalline Nd5Ni2Bi at its relaxed geometry at the PBE level of DFT.

Values from the calculation:
Crystal system   tetragonal
V   883.5 Å³ per cell
Density of states at the Fermi level   1.105 states/eV/atom
E_tot   -5.294 eV/atom
Energy of formation from the pure elements   -0.38 eV/atom

Lattice parameters (Å, degrees): 8.0167 8.0167 13.7475 90.00 90.00 90.00
With the nearest neighbours (Å) after each atom.
Space group I4/mcm (No. 140)
One atom of each set of equivalent atoms:
Nd 0.0000 0.0000 0.0000 x4  4 Ni 3.15, 2 Bi 3.44
Nd 0.1553 0.3447 0.1354 x16  3 Ni 2.95-3.07
Ni 0.1294 0.3706 0.5000 x8  1 Ni 2.93, 8 Nd 2.95-3.15
Bi 0.0000 0.0000 0.2500 x4  10 Nd 3.42-3.44

=====

Entry 3:
Computed, not measured: crystalline Nd5NiBi2 at its relaxed geometry at the PBE level of DFT.

Values from the calculation:
Crystal system   orthorhombic
V   1293.8 Å³ per cell
Density of states at the Fermi level   1.303 states/eV/atom
E_tot   -4.814 eV/atom
Energy of formation from the pure elements   -0.14 eV/atom

Lattice parameters (Å, degrees): 5.5880 16.8641 13.7291 90.00 90.00 90.00
With the nearest neighbours (Å) after each atom.
Space group Cmcm (No. 63)
One atom of each set of equivalent atoms:
Nd 0.0000 0.0571 0.1085 x8  1 Ni 2.71
Nd 0.0000 0.2769 0.0901 x8  1 Ni 2.85, 2 Bi 3.16
Nd 0.0000 0.3071 0.7500 x4  2 Ni 2.82
Ni 0.0000 0.1689 0.2500 x4  6 Nd 2.71-2.85
Bi 0.0000 0.1366 0.6056 x8  5 Nd 3.16-3.49

=====

Entry 4:
Computed, not measured: crystalline Nd4NiBi at its relaxed geometry at the PBE level of DFT.

Values from the calculation:
Crystal system   monoclinic
V   724.6 Å³ per cell
Density of states at the Fermi level   1.081 states/eV/atom
E_tot   -5.128 eV/atom
Energy of formation from the pure elements   -0.34 eV/atom

Lattice parameters (Å, degrees): 8.9978 14.3749 6.1928 90.00 115.23 90.00
With the nearest neighbours (Å) after each atom.
Space group C2/c (No. 15)
One atom of each set of equivalent atoms:
Nd 0.1138 0.1885 0.0767 x8  2 Ni 3.21-3.30, 2 Bi 3.33-3.35, 3 Nd 3.47-3.54
Nd 0.2365 0.4288 0.3422 x8  2 Ni 2.81-2.87
Ni 0.0000 0.0022 0.2500 x4  4 Nd 2.81-2.87, 2 Ni 3.10
Bi 0.0000 0.3830 0.7500 x4  8 Nd 3.33-3.43

=====

Entry 5:
Computed, not measured: crystalline Nd4Ni3Bi8 at its relaxed geometry at the PBE level of DFT.

Values from the calculation:
Crystal system   tetragonal
V   407.1 Å³ per cell
Density of states at the Fermi level   0.616 states/eV/atom
E_tot   -5.035 eV/atom
Energy of formation from the pure elements   -0.54 eV/atom

Lattice parameters (Å, degrees): 4.5881 4.5881 19.3388 90.00 90.00 90.00
With the nearest neighbours (Å) after each atom.
Space group P-4m2 (No. 115)
One atom of each set of equivalent atoms:
Nd 0.0000 0.5000 0.1126 x2  2 Ni 3.16, 9 Bi 3.36-3.49
Nd 0.0000 0.5000 0.6153 x2  4 Ni 3.20, 8 Bi 3.35-3.49
Ni 0.0000 0.0000 0.0000 x1  4 Bi 2.64
Ni 0.0000 0.0000 0.5000 x1  4 Bi 2.68
Ni 0.5000 0.5000 0.5000 x1  4 Bi 2.68
Bi 0.0000 0.0000 0.2487 x2  4 Bi 3.24, 4 Nd 3.49
Bi 0.0000 0.5000 0.4281 x2  4 Ni 2.68
Bi 0.0000 0.5000 0.9325 x2  2 Ni 2.64
Bi 0.5000 0.5000 0.2488 x2  4 Bi 3.24, 4 Nd 3.49

=====

Entry 6:
Computed, not measured: crystalline NdNiBi at its relaxed geometry at the PBE level of DFT.

Values from the calculation:
Crystal system   cubic
V   292.5 Å³ per cell
Density of states at the Fermi level   0.000 states/eV/atom
E_tot   -5.467 eV/atom
Energy of formation from the pure elements   -0.66 eV/atom

Lattice parameters (Å, degrees): 6.6381 6.6381 6.6381 90.00 90.00 90.00
With the nearest neighbours (Å) after each atom.
Space group F-43m (No. 216)
One atom of each set of equivalent atoms:
Nd 0.0000 0.0000 0.0000 x4  4 Ni 2.87
Ni 0.2500 0.2500 0.7500 x4  4 Bi 2.87, 4 Nd 2.87
Bi 0.0000 0.0000 0.5000 x4  4 Ni 2.87

=====

Entry 7:
Computed, not measured: crystalline NdNiBi at its relaxed geometry at the PBE level of DFT.

Values from the calculation:
Crystal system   tetragonal
V   143.0 Å³ per cell
Density of states at the Fermi level   0.910 states/eV/atom
E_tot   -5.046 eV/atom
Energy of formation from the pure elements   -0.24 eV/atom

Lattice parameters (Å, degrees): 3.4876 3.4876 11.7529 90.00 90.00 90.00
With the nearest neighbours (Å) after each atom.
Space group I4mm (No. 107)
One atom of each set of equivalent atoms:
Nd 0.0000 0.0000 0.0000 x2  4 Ni 2.98, 1 Bi 3.28
Ni 0.0000 0.0000 0.6428 x2  4 Bi 2.94, 4 Nd 2.98
Bi 0.0000 0.0000 0.2794 x2  4 Ni 2.94, 1 Nd 3.28

=====

Entry 8:
Computed, not measured: crystalline NdNi4Bi12 at its relaxed geometry at the PBE level of DFT.

Values from the calculation:
Crystal system   cubic
V   924.3 Å³ per cell
Density of states at the Fermi level   0.664 states/eV/atom
E_tot   -4.481 eV/atom
Energy of formation from the pure elements   -0.10 eV/atom

Lattice parameters (Å, degrees): 9.7411 9.7411 9.7411 90.00 90.00 90.00
With the nearest neighbours (Å) after each atom.
Space group Im-3 (No. 204)
One atom of each set of equivalent atoms:
Nd 0.0000 0.0000 0.0000 x2  12 Bi 3.58
Ni 0.2500 0.2500 0.2500 x8  6 Bi 2.69
Bi 0.0000 0.3286 0.1642 x24  2 Ni 2.69

=====

Entry 9:
Computed, not measured: crystalline Nd8NiBi2 at its relaxed geometry at the PBE level of DFT.

Values from the calculation:
Crystal system   monoclinic
V   703.6 Å³ per cell
Density of states at the Fermi level   1.106 states/eV/atom
E_tot   -5.032 eV/atom
Energy of formation from the pure elements   -0.33 eV/atom

Lattice parameters (Å, degrees): 19.3926 4.7891 7.6576 90.00 98.35 90.00
With the nearest neighbours (Å) after each atom.
Space group C2/m (No. 12)
One atom of each set of equivalent atoms:
Nd 0.0031 0.0000 0.2829 x4  2 Ni 2.92
Nd 0.0933 0.5000 0.0127 x4  2 Bi 3.44, 8 Nd 3.60-3.76
Nd 0.1405 0.5000 0.5357 x4  1 Ni 2.70
Nd 0.2127 0.0000 0.8492 x4  3 Bi 3.36-3.40, 7 Nd 3.49-3.76
Ni 0.0000 0.5000 0.5000 x2  6 Nd 2.70-2.92
Bi 0.1836 0.0000 0.2760 x4  9 Nd 3.30-3.51

=====

Entry 10:
Computed, not measured: crystalline Nd12Ni6Bi at its relaxed geometry at the PBE level of DFT.

Values from the calculation:
Crystal system   cubic
V   1035.2 Å³ per cell
Density of states at the Fermi level   1.059 states/eV/atom
E_tot   -5.350 eV/atom
Energy of formation from the pure elements   -0.31 eV/atom

Lattice parameters (Å, degrees): 10.1159 10.1159 10.1159 90.00 90.00 90.00
With the nearest neighbours (Å) after each atom.
Space group Im-3 (No. 204)
One atom of each set of equivalent atoms:
Nd 0.0000 0.1870 0.3092 x24  3 Ni 2.74-2.97
Ni 0.0000 0.3792 0.5000 x12  1 Ni 2.44
Bi 0.0000 0.0000 0.0000 x2  12 Nd 3.66

=====

Entry 11:
Computed, not measured: crystalline NdNiBi at its relaxed geometry at the PBE level of DFT.

Values from the calculation:
Crystal system   trigonal
V   73.5 Å³ per cell
Density of states at the Fermi level   0.685 states/eV/atom
E_tot   -5.340 eV/atom
Energy of formation from the pure elements   -0.53 eV/atom

Lattice parameters (Å, degrees): 4.4660 4.4660 4.2523 90.00 90.00 120.00
With the nearest neighbours (Å) after each atom.
Space group P3m1 (No. 156)
One atom of each set of equivalent atoms:
Nd 0.0000 0.0000 0.0000 x1  3 Ni 3.15, 6 Bi 3.34
Ni 0.3333 0.6667 0.4267 x1  3 Bi 2.60
Bi 0.6667 0.3333 0.4992 x1  3 Ni 2.60